First-principles (PBE) data for a relaxed KNaTlSb crystal, as listed in the Alexandria database.

Calculated values
The value obtained for the uncorrected formation energy is -0.279 eV per atom. As for the symmetry: F-43m (216).

Unit cell a=5.6478 b=5.6490 c=5.6532 alpha=120.01 beta=90.00 gamma=119.99
Closest atoms and distances in Å follow each position.
Sites, in units of the cell vectors:
K 0.6166 0.2332 0.4918  4 Na 3.46, 4 Tl 3.46
Na 0.8663 0.7326 0.2409  4 Sb 3.46-3.47, 4 K 3.46
Tl 0.3667 0.7334 0.7423  4 Sb 3.46, 4 K 3.46
Sb 0.1167 0.2334 0.9923  4 Na 3.46-3.47, 4 Tl 3.46

---

First-principles (PBE) data for a relaxed KNaTlSb crystal, as listed in the Alexandria database.

Calculated values
The value obtained for the uncorrected formation energy is -0.263 eV per atom. As for the symmetry: F-43m (216).

Unit cell a=5.6384 b=5.6384 c=5.6384 alpha=60.00 beta=60.00 gamma=60.00
Closest atoms and distances in Å follow each position.
Sites, in units of the cell vectors:
Sb 0.7500 0.7500 0.7500  4 Na 3.45, 4 K 3.45
Tl 0.2500 0.2500 0.2500  4 K 3.45, 4 Na 3.45
K 0.5000 0.5000 0.5000  4 Sb 3.45, 4 Tl 3.45
Na 0.0000 0.0000 0.0000  4 Tl 3.45, 4 Sb 3.45

---

First-principles (PBE) data for a relaxed KNa2ZnSb2 crystal, as listed in the Alexandria database.

Calculated values
The value obtained for the uncorrected formation energy is -0.278 eV per atom. As for the symmetry: Pmc2_1 (26).

Unit cell a=4.7488 b=8.3887 c=8.8178 alpha=90.00 beta=90.00 gamma=90.00
Closest atoms and distances in Å follow each position.
Sites, in units of the cell vectors:
K 0.0000 0.0092 0.4279  5 Sb 3.39-3.45, 2 Zn 3.42, 1 Na 3.68
K 0.0000 0.5092 0.5721  5 Sb 3.39-3.45, 2 Zn 3.42, 1 Na 3.68
Na 0.5000 0.0274 0.0732  4 Na 3.49-3.67, 5 Sb 3.53-3.64, 2 Zn 3.66-3.90
Na 0.0000 0.3472 0.1617  4 Sb 3.07-3.09
Na 0.5000 0.5274 0.9268  4 Na 3.49-3.67, 5 Sb 3.53-3.64, 2 Zn 3.66-3.90
Na 0.0000 0.8472 0.8383  4 Sb 3.07-3.09
Zn 0.5000 0.1458 0.6742  4 Sb 2.83-2.92
Zn 0.5000 0.6458 0.3258  4 Sb 2.83-2.92
Sb 0.0000 0.2126 0.8360  2 Zn 2.83, 2 Na 3.07-3.09
Sb 0.5000 0.3033 0.3795  2 Zn 2.91-2.92, 2 Na 3.08
Sb 0.0000 0.7126 0.1640  2 Zn 2.83, 2 Na 3.07-3.09
Sb 0.5000 0.8033 0.6205  2 Zn 2.91-2.92, 2 Na 3.08

---

First-principles (PBE) data for a relaxed KNa2Zn2Sb2 crystal, as listed in the Alexandria database.

Calculated values
The value obtained for the uncorrected formation energy is -0.280 eV per atom. As for the symmetry: C2/m (12).

Unit cell a=4.7092 b=4.7108 c=10.4225 alpha=103.02 beta=90.00 gamma=119.99
Closest atoms and distances in Å follow each position.
Sites, in units of the cell vectors:
K 0.0000 0.0000 0.0000  6 Sb 3.69-3.70
Na 0.1429 0.2859 0.4283  3 Zn 2.96, 3 Na 3.08, 4 Sb 3.25-3.27
Na 0.8571 0.7141 0.5717  3 Zn 2.96, 3 Na 3.08, 4 Sb 3.25-3.27
Zn 0.5625 0.1250 0.6885  3 Sb 2.79, 3 Na 2.96
Zn 0.4375 0.8750 0.3115  3 Sb 2.79, 3 Na 2.96
Sb 0.7499 0.4999 0.2488  3 Zn 2.79
Sb 0.2501 0.5001 0.7512  3 Zn 2.79

---

First-principles (PBE) data for a relaxed K2NaZn3Sb4 crystal, as listed in the Alexandria database.

Calculated values
The value obtained for the uncorrected formation energy is -0.262 eV per atom. As for the symmetry: P-4m2 (115).

Unit cell a=4.8773 b=4.8773 c=11.6633 alpha=90.00 beta=90.00 gamma=90.00
Closest atoms and distances in Å follow each position.
Sites, in units of the cell vectors:
K 0.5000 0.0000 0.2517  8 Sb 3.67-3.82, 6 Zn 3.72-3.79, 2 Na 3.79
K 0.0000 0.5000 0.7483  8 Sb 3.67-3.82, 6 Zn 3.72-3.79, 2 Na 3.79
Na 0.5000 0.5000 0.5000  4 Sb 2.94
Zn 0.0000 0.0000 0.5000  4 Sb 2.94
Zn 0.5000 0.0000 0.8671  5 Sb 2.64-2.89
Zn 0.0000 0.5000 0.1329  5 Sb 2.64-2.89
Sb 0.5000 0.5000 0.0000  4 Zn 2.89
Sb 0.0000 0.0000 0.0000  4 Zn 2.89
Sb 0.5000 0.0000 0.6406  3 Zn 2.64-2.94, 2 Na 2.94
Sb 0.0000 0.5000 0.3594  3 Zn 2.64-2.94, 2 Na 2.94

---

First-principles (PBE) data for a relaxed KNa3Sc crystal, as listed in the Alexandria database.

Calculated values
The formation energy from the elements comes out at 630 meV/atom. As for the symmetry: Pm-3m (221).

Unit cell a=6.4438 b=6.4438 c=6.4438 alpha=90.00 beta=90.00 gamma=90.00
Closest atoms and distances in Å follow each position.
Sites, in units of the cell vectors:
Sc 0.0000 0.0000 0.0000  6 Na 3.22
Na 0.0000 0.5000 0.0000  2 Sc 3.22
Na 0.0000 0.0000 0.5000  2 Sc 3.22
Na 0.5000 0.0000 0.0000  2 Sc 3.22
K 0.5000 0.5000 0.5000  12 Na 4.56

---

First-principles (PBE) data for a relaxed KNaSc3 crystal, as listed in the Alexandria database.

Calculated values
The formation energy from the elements comes out at 1066 meV/atom. As for the symmetry: Pm-3m (221).

Unit cell a=5.5865 b=5.5865 c=5.5865 alpha=90.00 beta=90.00 gamma=90.00
Closest atoms and distances in Å follow each position.
Sites, in units of the cell vectors:
Sc 0.0000 0.5000 0.0000  2 Na 2.79
Sc 0.0000 0.0000 0.5000  2 Na 2.79
Sc 0.5000 0.0000 0.0000  2 Na 2.79
Na 0.0000 0.0000 0.0000  6 Sc 2.79
K 0.5000 0.5000 0.5000  12 Sc 3.95

---

First-principles (PBE) data for a relaxed KNa3Sc crystal, as listed in the Alexandria database.

Calculated values
The formation energy from the elements comes out at 820 meV/atom. As for the symmetry: Pm-3m (221).

Unit cell a=5.9109 b=5.9109 c=5.9109 alpha=90.00 beta=90.00 gamma=90.00
Closest atoms and distances in Å follow each position.
Sites, in units of the cell vectors:
Sc 0.5000 0.5000 0.5000  12 Na 4.18
Na 0.0000 0.5000 0.0000  2 K 2.96
Na 0.0000 0.0000 0.5000  2 K 2.96
Na 0.5000 0.0000 0.0000  2 K 2.96
K 0.0000 0.0000 0.0000  6 Na 2.96